Density functional theory data (PBE) for crystalline Ho2SnSe3 at its relaxed geometry.

Geometry as POSCAR:
```
Ho2SnSe3
1.0
3.955 0.000 0.000
-1.977 3.425 0.000
0.000 0.000 12.132
Ho Sn Se
2 1 3
Cartesian
0.000 2.283 1.778
1.977 1.142 10.353
0.000 0.000 6.066
0.000 0.000 0.000
0.000 2.283 8.750
1.977 1.142 3.382
```

Output
* total magnetization: 0.01 μB per cell
* space-group type: P-3m1
* E: -31.42 eV for the cell shown

---

Density functional theory data (PBE) for crystalline GdCu2S4 at its relaxed geometry.

Geometry as POSCAR:
```
GdCu2S4
1.0
6.820 0.000 0.000
0.000 9.923 0.000
0.000 0.000 3.794
Gd Cu S
2 4 8
Cartesian
0.000 0.000 0.000
3.410 4.961 0.000
1.705 2.481 1.897
1.705 7.442 1.897
5.115 2.481 1.897
5.115 7.442 1.897
0.000 2.703 0.000
0.000 7.220 0.000
1.505 4.961 1.897
1.905 0.000 1.897
3.410 2.258 0.000
3.410 7.665 0.000
4.915 0.000 1.897
5.314 4.961 1.897
```

Output
* total magnetization: 0.00 μB per cell
* space-group type: Cmmm
* E: -64.38 eV for the cell shown

---

Density functional theory data (PBE) for crystalline YZnInSe3 at its relaxed geometry.

Geometry as POSCAR:
```
YZnInSe3
1.0
14.756 0.000 0.000
0.000 4.105 0.000
0.000 0.000 11.080
Y Zn In Se
4 4 4 12
Cartesian
0.367 1.026 1.744
7.011 3.079 7.284
7.745 1.026 3.797
14.389 3.079 9.337
0.272 3.079 4.445
7.106 1.026 9.985
7.650 3.079 1.095
14.484 1.026 6.635
3.600 1.026 5.151
3.778 3.079 10.691
10.978 1.026 0.389
11.156 3.079 5.930
1.211 3.079 6.811
1.468 1.026 10.214
2.089 3.079 2.772
5.289 1.026 8.312
5.911 3.079 4.674
6.167 1.026 1.271
8.589 3.079 9.810
8.846 1.026 6.407
9.467 3.079 2.768
12.668 1.026 8.308
13.289 3.079 0.866
13.546 1.026 4.269
```

Output
* total magnetization: 0.01 μB per cell
* space-group type: Pnma
* energy relative to the lowest polymorph listed for this composition: 0.014 eV per atom
* E: -109.27 eV for the cell shown

---

Density functional theory data (PBE) for crystalline NaOs3Pb5 at its relaxed geometry.

Geometry as POSCAR:
```
NaOs3Pb5
1.0
5.627 0.000 0.000
-2.813 4.873 0.000
0.000 0.000 8.687
Na Os Pb
1 3 5
Cartesian
0.000 0.000 0.000
-1.407 2.436 4.343
2.813 0.000 4.343
1.407 2.436 4.343
0.000 0.000 4.343
0.000 3.249 1.892
0.000 3.249 6.794
2.813 1.624 1.892
2.813 1.624 6.794
```

Output
* total magnetization: 2.96 μB per cell
* space-group type: P6/mmm
* E: -49.02 eV for the cell shown

---

Density functional theory data (PBE) for crystalline LiTlZnCo at its relaxed geometry.

Geometry as POSCAR:
```
LiTlZnCo
1.0
6.200 0.000 0.000
0.000 6.200 0.000
0.000 0.000 6.200
Li Tl Zn Co
4 4 4 4
Cartesian
0.000 0.000 0.000
0.000 3.100 3.100
3.100 0.000 3.100
3.100 3.100 0.000
1.550 1.550 1.550
1.550 4.650 4.650
4.650 1.550 4.650
4.650 4.650 1.550
1.550 1.550 4.650
1.550 4.650 1.550
4.650 1.550 1.550
4.650 4.650 4.650
0.000 0.000 3.100
0.000 3.100 0.000
3.100 0.000 0.000
3.100 3.100 3.100
```

Output
* total magnetization: 0.03 μB per cell
* space-group type: F-43m
* energy relative to the lowest polymorph listed for this composition: 0.000 eV per atom
* E: -49.43 eV for the cell shown

---

Density functional theory data (PBE) for crystalline HoMoPt at its relaxed geometry.

Geometry as POSCAR:
```
HoMoPt
1.0
6.472 0.000 0.000
0.000 6.472 0.000
0.000 0.000 6.472
Ho Mo Pt
4 4 4
Cartesian
0.000 0.000 0.000
0.000 3.236 3.236
3.236 0.000 3.236
3.236 3.236 0.000
1.618 1.618 4.854
1.618 4.854 1.618
4.854 1.618 1.618
4.854 4.854 4.854
1.618 1.618 1.618
1.618 4.854 4.854
4.854 1.618 4.854
4.854 4.854 1.618
```

Output
* total magnetization: 12.00 μB per cell
* space-group type: F-43m
* energy relative to the lowest polymorph listed for this composition: 0.574 eV per atom
* E: -78.01 eV for the cell shown

---

Density functional theory data (PBE) for crystalline InCuReS3 at its relaxed geometry.

Geometry as POSCAR:
```
InCuReS3
1.0
1.680 -7.042 0.000
1.680 7.042 0.000
0.000 0.000 9.202
In Cu Re S
2 2 2 6
Cartesian
1.680 3.689 6.902
1.680 -3.689 2.301
1.680 6.387 2.301
1.680 -6.387 6.902
1.680 0.000 0.000
1.680 0.000 4.601
1.680 5.282 0.343
1.680 5.282 4.258
1.680 0.921 2.301
1.680 -0.921 6.902
1.680 -5.282 4.944
1.680 -5.282 8.859
```

Output
* total magnetization: 0.07 μB per cell
* space-group type: Cmcm
* E: -63.93 eV for the cell shown

---

Density functional theory data (PBE) for crystalline UZnPt at its relaxed geometry.

Geometry as POSCAR:
```
UZnPt
1.0
6.424 0.000 0.000
0.000 6.424 0.000
0.000 0.000 6.424
U Zn Pt
4 4 4
Cartesian
0.000 0.000 0.000
0.000 3.212 3.212
3.212 0.000 3.212
3.212 3.212 0.000
0.000 0.000 3.212
0.000 3.212 0.000
3.212 0.000 0.000
3.212 3.212 3.212
1.606 1.606 1.606
1.606 4.818 4.818
4.818 1.606 4.818
4.818 4.818 1.606
```

Output
* total magnetization: 10.03 μB per cell
* space-group type: F-43m
* E: -77.29 eV for the cell shown

---

Density functional theory data (PBE) for crystalline ZnF at its relaxed geometry.

Geometry as POSCAR:
```
ZnF
1.0
2.765 0.000 0.000
-1.382 2.394 0.000
0.000 0.000 3.551
Zn F
1 1
Cartesian
0.000 0.000 0.000
0.000 1.596 1.775
```

Output
* space-group type: P-6m2
* E: -5.35 eV for the cell shown

---

Density functional theory data (PBE) for crystalline LaBiIrAu at its relaxed geometry.

Geometry as POSCAR:
```
LaBiIrAu
1.0
7.194 0.000 0.000
0.000 7.194 0.000
0.000 0.000 7.194
La Bi Ir Au
4 4 4 4
Cartesian
0.000 0.000 0.000
0.000 3.597 3.597
3.597 0.000 3.597
3.597 3.597 0.000
1.798 1.798 5.395
1.798 5.395 1.798
5.395 1.798 1.798
5.395 5.395 5.395
1.798 1.798 1.798
1.798 5.395 5.395
5.395 1.798 5.395
5.395 5.395 1.798
0.000 0.000 3.597
0.000 3.597 0.000
3.597 0.000 0.000
3.597 3.597 3.597
```

Output
* total magnetization: 0.01 μB per cell
* space-group type: F-43m
* energy relative to the lowest polymorph listed for this composition: 0.292 eV per atom
* E: -85.17 eV for the cell shown

---

Density functional theory data (PBE) for crystalline HfCuIr at its relaxed geometry.

Geometry as POSCAR:
```
HfCuIr
1.0
6.094 0.000 0.000
0.000 6.094 0.000
0.000 0.000 6.094
Hf Cu Ir
4 4 4
Cartesian
0.000 0.000 0.000
0.000 3.047 3.047
3.047 0.000 3.047
3.047 3.047 0.000
0.000 0.000 3.047
0.000 3.047 0.000
3.047 0.000 0.000
3.047 3.047 3.047
1.524 1.524 4.571
1.524 4.571 1.524
4.571 1.524 1.524
4.571 4.571 4.571
```

Output
* total magnetization: 0.00 μB per cell
* space-group type: F-43m
* energy relative to the lowest polymorph listed for this composition: 0.000 eV per atom
* E: -93.53 eV for the cell shown

---

Density functional theory data (PBE) for crystalline Sm4CBr2Cl3 at its relaxed geometry.

Geometry as POSCAR:
```
Sm4CBr2Cl3
1.0
8.789 -1.928 0.000
8.789 1.928 0.000
-1.803 0.000 7.828
Sm C Br Cl
4 1 2 3
Cartesian
-0.468 0.000 2.255
5.496 0.000 3.309
10.279 0.000 4.519
16.243 0.000 5.573
7.888 0.000 3.914
1.395 0.000 6.688
14.380 0.000 1.141
2.392 0.000 2.659
8.789 0.000 0.000
13.383 0.000 5.170
```

Output
* total magnetization: 0.09 μB per cell
* space-group type: C2/m
* energy relative to the lowest polymorph listed for this composition: 0.003 eV per atom
* E: -52.90 eV for the cell shown